## Tb2CoB10 (PBE-GGA)

Data for a relaxed Tb2CoB10 crystal.

Output
For the raw total energy, the calculation gives -90.08 eV per formula unit.

Geometry as CIF:
```
data_Tb2CoB10
_chemical_formula_sum 'Tb4 Co2 B20'
_cell_length_a 5.5543
_cell_length_b 11.0925
_cell_length_c 4.1475
_cell_angle_alpha 90.00
_cell_angle_beta 90.00
_cell_angle_gamma 90.00
_space_group_name_H-M_alt 'P b a m'
_space_group_IT_number 55
loop_
_space_group_symop_operation_xyz
'x,y,z'
'-x,-y,-z'
'-x,-y,z'
'x,y,-z'
'x+1/2,-y+1/2,-z'
'-x+1/2,y+1/2,z'
'-x+1/2,y+1/2,-z'
'x+1/2,-y+1/2,z'
loop_
_atom_site_label
_atom_site_type_symbol
_atom_site_fract_x
_atom_site_fract_y
_atom_site_fract_z
_atom_site_occupancy
Tb1 Tb 0.1986 0.1339 0.0000 1
Co1 Co 0.0000 0.5000 0.5000 1
B1 B 0.0300 0.3139 0.5000 1
B2 B 0.1278 0.9600 0.5000 1
B3 B 0.1581 0.8021 0.5000 1
B4 B 0.2005 0.3867 0.2000 1
```


## TbCo6B4 (PBE-GGA)

Data for a relaxed TbCo6B4 crystal.

Output
For the raw total energy, the calculation gives -77.05 eV per formula unit.

Geometry as CIF:
```
data_TbCo6B4
_chemical_formula_sum 'Tb1 Co6 B4'
_cell_length_a 6.1367
_cell_length_b 6.1367
_cell_length_c 3.2774
_cell_angle_alpha 90.00
_cell_angle_beta 90.00
_cell_angle_gamma 120.00
_space_group_name_H-M_alt 'P -6 m 2'
_space_group_IT_number 187
_space_group_name_Hall 'P -6 2'
loop_
_atom_site_label
_atom_site_type_symbol
_atom_site_fract_x
_atom_site_fract_y
_atom_site_fract_z
_atom_site_occupancy
Tb1 Tb 0.0000 0.0000 0.0000 1
Co1 Co 0.2036 0.4073 0.5000 1
Co2 Co 0.5347 0.0695 0.0000 1
B1 B 0.3333 0.6667 0.0000 1
B2 B 0.4259 0.2130 0.5000 1
```


## Tb2Co3TcB12 (PBE-GGA)

Data for a relaxed Tb2Co3TcB12 crystal.

Output
For the raw total energy, the calculation gives -119.94 eV per formula unit.

Geometry as CIF:
```
data_Tb2Co3TcB12
_chemical_formula_sum 'Tb6 Co9 Tc3 B36'
_cell_length_a 5.3462
_cell_length_b 5.3462
_cell_length_c 23.2233
_cell_angle_alpha 90.00
_cell_angle_beta 90.00
_cell_angle_gamma 120.00
_space_group_name_H-M_alt 'R -3 m'
_space_group_IT_number 166
_space_group_name_Hall '-R 3 2"'
loop_
_atom_site_label
_atom_site_type_symbol
_atom_site_fract_x
_atom_site_fract_y
_atom_site_fract_z
_atom_site_occupancy
Tb1 Tb 0.0000 0.0000 0.1367 1
Co1 Co 0.0000 0.5000 0.0000 1
Tc1 Tc 0.0000 0.0000 0.5000 1
B1 B 0.0878 0.5439 0.0884 1
B2 B 0.1064 0.2128 0.7351 1
```